Entry from Alexandria: an optimized crystal structure of HfZrFe (PBE).

abc: 5.9461 5.9461 6.7841
angles: 64.01 64.01 60.00
Positions (direct):
Fe  0.1752  0.1752  0.4744
Fe  0.3180  0.3180  0.0460
Fe  0.6705  0.6705  0.9886
Zr  0.7466  0.4019  0.7523
Zr  0.0992  0.7466  0.7523
Zr  0.4019  0.0992  0.7523
Hf  0.6244  0.8724  0.2626
Hf  0.8724  0.2405  0.2626
Hf  0.2405  0.6244  0.2626

Results
VASP energy, eV per atom: -8.88
ΔH_f (0 K), kJ per mole of atoms: 10.4
Calculated volume, Å³/cell: 179
Offset from the most stable computed form, meV/atom: 263

***

Entry from Alexandria: an optimized crystal structure of CeAlOs (PBE).

abc: 3.0288 4.2947 4.9530
angles: 90.00 90.00 90.00
Each line ends with the local moment (μB).
Positions (direct):
Al  0.0000  0.5000  0.5000  0.00
Os  0.5000  0.0000  0.5000  -0.06
Ce  0.0000  0.0000  0.0000  0.53

Results
VASP energy, eV per atom: -7.12
ΔH_f (0 K), kJ per mole of atoms: -14.6
Calculated volume, Å³/cell: 64

***

Entry from Alexandria: an optimized crystal structure of In2AgRu (PBE).

abc: 4.2387 4.2387 9.8344
angles: 77.55 77.55 90.00
Positions (direct):
Ru  0.5000  0.5000  0.0000
Ru  0.2500  0.7500  0.5000
Ag  0.0000  0.0000  0.0000
Ag  0.7500  0.2500  0.5000
In  0.6110  0.1250  0.2500
In  0.1390  0.6250  0.2500
In  0.3750  0.3890  0.7500
In  0.8750  0.8610  0.7500

Results
VASP energy, eV per atom: -3.91
ΔH_f (0 K), kJ per mole of atoms: 47.5
Calculated volume, Å³/cell: 168

***

Entry from Alexandria: an optimized crystal structure of Ca3Zr2UN6 (PBE).

abc: 5.8424 5.8424 5.9701
angles: 99.37 99.37 120.00
Each line ends with the local moment (μB).
Positions (direct):
Ca  0.1688  0.8312  0.5000  0.01
Ca  0.8312  0.1688  0.5000  0.01
Ca  0.5000  0.5000  0.5000  0.01
Zr  0.3336  0.6664  0.0000  0.04
Zr  0.6664  0.3336  0.0000  0.04
U  0.0000  0.0000  0.0000  0.53
N  0.9284  0.6013  0.7847  -0.01
N  0.7445  0.7445  0.2132  -0.01
N  0.0716  0.3987  0.2153  -0.01
N  0.6013  0.9284  0.7847  -0.01
N  0.2555  0.2555  0.7868  -0.01
N  0.3987  0.0716  0.2153  -0.01

Results
VASP energy, eV per atom: -8.49
ΔE_f (raw), eV per atom: -1.460
Calculated volume, Å³/cell: 167

***

Which formula does entry 4 have?
Ca3Zr2UN6